! LaInTe2 (PBE, relaxed); values from VASP
! SG = Pm (6)
! final energy = -18.43 eV per cell
! formation energy (no corrections) = -1.120 eV per atom
&SYSTEM
  ibrav = 0, nat = 4, ntyp = 3
/
ATOMIC_SPECIES
La 138.91 La.upf
In 114.82 In.upf
Te 127.60 Te.upf
ATOMIC_POSITIONS crystal
La 0.000 0.000 0.000
In 0.803 0.500 0.604
Te 0.290 0.000 0.581
Te 0.562 0.500 0.125
CELL_PARAMETERS angstrom
4.440 0.000 0.000
0.000 4.722 0.000
-2.218 0.000 6.037